(1)
NbTeAsBr2 | PBE | relaxed

```
5
Lattice="5.393 0.000 0.000 0.000 5.393 0.000 0.000 0.000 5.640" Properties=species:S:1:pos:R:3 pbc="T T T"
Nb 0.000 0.000 0.000
Te 2.696 2.696 2.820
As 2.696 2.696 0.000
Br 0.000 2.696 2.820
Br 2.696 0.000 2.820
```

- Raw total energy: -3.150 eV/atom
- Space-group type: No. 123
- Density of states at the Fermi level: 1.923 states/eV per atom

---

(2)
NbTlAsBr2 | PBE | relaxed

```
5
Lattice="5.345 0.000 0.000 0.000 5.345 0.000 0.000 0.000 5.045" Properties=species:S:1:pos:R:3 pbc="T T T"
Nb 0.000 0.000 0.000
Tl 2.673 2.673 2.523
As 0.000 0.000 2.523
Br 0.000 2.673 0.000
Br 2.673 0.000 0.000
```

- Raw total energy: -4.353 eV/atom
- Space-group type: No. 123
- Density of states at the Fermi level: 0.369 states/eV per atom

---

(3)
NbTlAsBr2 | PBE | relaxed

```
5
Lattice="5.563 0.000 0.000 0.000 5.563 0.000 0.000 0.000 5.404" Properties=species:S:1:pos:R:3 pbc="T T T"
Nb 0.000 0.000 0.000
Tl 2.781 2.781 2.702
As 2.781 2.781 0.000
Br 0.000 2.781 2.702
Br 2.781 0.000 2.702
```

- Raw total energy: -3.106 eV/atom
- Space-group type: No. 123
- Density of states at the Fermi level: 1.421 states/eV per atom

---

(4)
NbTlAs2Br | PBE | relaxed

```
5
Lattice="5.013 0.000 0.000 0.000 5.013 0.000 0.000 0.000 5.555" Properties=species:S:1:pos:R:3 pbc="T T T"
Nb 0.000 0.000 0.000
Tl 2.507 2.507 2.778
As 0.000 2.507 0.000
As 2.507 0.000 0.000
Br 0.000 0.000 2.778
```

- Raw total energy: -4.785 eV/atom
- Space-group type: No. 123
- Density of states at the Fermi level: 0.589 states/eV per atom

---

(5)
NbTlAs2Br | PBE | relaxed

```
5
Lattice="5.214 0.000 0.000 0.000 5.214 0.000 0.000 0.000 5.560" Properties=species:S:1:pos:R:3 pbc="T T T"
Nb 0.000 0.000 0.000
Tl 2.607 2.607 2.780
As 0.000 2.607 2.780
As 2.607 0.000 2.780
Br 2.607 2.607 0.000
```

- Raw total energy: -3.406 eV/atom
- Space-group type: No. 123
- Density of states at the Fermi level: 0.988 states/eV per atom

---

(6)
NbAsWBr2 | PBE | relaxed

```
5
Lattice="5.046 0.000 0.000 0.000 5.046 0.000 0.000 0.000 5.264" Properties=species:S:1:pos:R:3 pbc="T T T"
Nb 0.000 0.000 0.000
As 0.000 0.000 2.632
W 2.523 2.523 2.632
Br 0.000 2.523 0.000
Br 2.523 0.000 0.000
```

- Raw total energy: -5.029 eV/atom
- Space-group type: No. 123
- Density of states at the Fermi level: 0.755 states/eV per atom

---

Values of energy relative to the lowest polymorph listed for this composition, in order: 21.95 0.00 28.75 0.00 31.79 0.74, all in kcal/mol of atoms.
Values of formation energy without anion corrections, in order: 5.5 -1.3 4.9 -0.5 6.4 5.9, all in eV per formula unit.
Values of M_tot, in order: 3.0 0.3 2.4 0.0 2.2 5.3, all in μB per formula unit.